# Rb3In3Au2

A relaxed Rb3In3Au2 crystal (GGA-PBE, the Alexandria database).

The structure in CIF format:
```
data_Rb3In3Au2
_symmetry_space_group_name_H-M 'P 1'
_symmetry_Int_Tables_number 1
_symmetry_space_group_name_Hall 'P 1'
_cell_length_a 7.236
_cell_length_b 7.236
_cell_length_c 17.745
_cell_angle_alpha 90.00
_cell_angle_beta 90.00
_cell_angle_gamma 141.10
loop_
_atom_site_label
_atom_site_type_symbol
_atom_site_fract_x
_atom_site_fract_y
_atom_site_fract_z
_atom_site_occupancy
Rb1 Rb 0.049 0.951 0.605 1
Rb2 Rb 0.049 0.951 0.895 1
Rb3 Rb 0.373 0.627 0.750 1
Rb4 Rb 0.627 0.373 0.250 1
Rb5 Rb 0.951 0.049 0.105 1
Rb6 Rb 0.951 0.049 0.395 1
In1 In 0.323 0.677 0.539 1
In2 In 0.323 0.677 0.961 1
In3 In 0.333 0.667 0.250 1
In4 In 0.667 0.333 0.750 1
In5 In 0.677 0.323 0.039 1
In6 In 0.677 0.323 0.461 1
Au1 Au 0.237 0.763 0.111 1
Au2 Au 0.237 0.763 0.389 1
Au3 Au 0.763 0.237 0.611 1
Au4 Au 0.763 0.237 0.889 1
```

Values from the calculation:
**Energy of formation from the pure elements**: -205.6 meV/atom
**Crystal system**: orthorhombic
**E above lowest polymorph**: 0 meV per atom